## 1
Below is a geometry-optimized CuGeIr3 structure, with properties calculated at the PBE level.

Lattice parameters (Å, degrees): 4.5354 4.5354 4.5354 90.00 90.00 90.00
Atoms (fractional coordinates):
Ir  0.0000  0.5000  0.0000
Ir  0.0000  0.0000  0.5000
Ir  0.5000  0.0000  0.0000
Cu  0.5000  0.5000  0.5000
Ge  0.0000  0.0000  0.0000



## 2
Below is a geometry-optimized CuGeIr3 structure, with properties calculated at the PBE level.

Lattice parameters (Å, degrees): 4.4864 4.4864 4.4864 90.00 90.00 90.00
Atoms (fractional coordinates):
Cu  0.0000  0.0000  0.0000
Ir  0.0000  0.0000  0.5000
Ir  0.5000  0.0000  0.0000
Ir  0.0000  0.5000  0.0000
Ge  0.5000  0.5000  0.5000



Most stable structure, least stable structure: 1, 2.



## 1
Below is a geometry-optimized Cu3GeIr structure, with properties calculated at the PBE level.

Lattice parameters (Å, degrees): 4.6453 4.6453 4.6453 90.00 90.00 90.00
Atoms (fractional coordinates):
Ir  0.0000  0.0000  0.0000
Ge  0.5000  0.5000  0.5000
Cu  0.5000  0.0000  0.0000
Cu  0.0000  0.5000  0.0000
Cu  0.0000  0.0000  0.5000



## 2
Below is a geometry-optimized Cu3GeIr structure, with properties calculated at the PBE level.

Lattice parameters (Å, degrees): 4.3425 4.3425 4.3425 90.00 90.00 90.00
Atoms (fractional coordinates):
Cu  0.0000  0.5000  0.0000
Cu  0.5000  0.0000  0.0000
Cu  0.0000  0.0000  0.5000
Ir  0.5000  0.5000  0.5000
Ge  0.0000  0.0000  0.0000



Most stable structure, least stable structure: 2, 1.



## 1
Below is a geometry-optimized KNa2CuGe structure, with properties calculated at the PBE level.

Lattice parameters (Å, degrees): 5.6036 5.6036 4.5926 90.00 90.00 90.00
Atoms (fractional coordinates):
K  0.5000  0.5000  0.5000
Cu  0.0000  0.0000  0.0000
Na  0.0000  0.5000  0.0000
Na  0.5000  0.0000  0.0000
Ge  0.0000  0.0000  0.5000



## 2
Below is a geometry-optimized KNa2CuGe structure, with properties calculated at the PBE level.

Lattice parameters (Å, degrees): 5.7294 5.7294 4.6572 90.00 90.00 90.00
Atoms (fractional coordinates):
Ge  0.0000  0.0000  0.0000
Na  0.0000  0.5000  0.0000
Na  0.5000  0.0000  0.0000
Cu  0.0000  0.0000  0.5000
K  0.5000  0.5000  0.5000



Most stable structure, least stable structure: 1, 2.



## 1
Below is a geometry-optimized La2CuGeN structure, with properties calculated at the PBE level.

Lattice parameters (Å, degrees): 3.9543 6.7554 8.4471 107.85 90.00 90.00
Atoms (fractional coordinates):
N  0.7500  0.1529  0.1650
N  0.2500  0.8471  0.8350
Cu  0.2500  0.5406  0.7530
Cu  0.7500  0.4594  0.2470
La  0.2500  0.1989  0.3839
La  0.7500  0.8011  0.6161
La  0.7500  0.7871  0.0370
La  0.2500  0.2129  0.9630
Ge  0.2500  0.6851  0.3047
Ge  0.7500  0.3149  0.6953



## 2
Below is a geometry-optimized La2CuGeN structure, with properties calculated at the PBE level.

Lattice parameters (Å, degrees): 5.1998 5.1998 3.8885 90.00 90.00 90.00
Atoms (fractional coordinates):
La  0.0000  0.5000  0.0000
La  0.5000  0.0000  0.0000
Ge  0.5000  0.5000  0.5000
N  0.0000  0.0000  0.0000
Cu  0.0000  0.0000  0.5000



Most stable structure, least stable structure: 1, 2.